# 1
# ZrPIr2, optimized geometry, DFT GGA-PBEsol
# * density: 13.88 Mg/m³
# * uncorrected energy: -36.88 eV per formula unit
# * ΔE_f: -2.35 eV/f.u.
# * crystal system: orthorhombic
data_ZrPIr2
_chemical_formula_sum 'Zr2 P2 Ir4'
_cell_length_a 3.8530
_cell_length_b 2.9492
_cell_length_c 10.6677
_cell_angle_alpha 90.00
_cell_angle_beta 90.00
_cell_angle_gamma 90.00
_space_group_name_H-M_alt 'A m m 2'
_space_group_IT_number 38
_space_group_name_Hall 'A 2 -2'
loop_
_atom_site_label
_atom_site_type_symbol
_atom_site_fract_x
_atom_site_fract_y
_atom_site_fract_z
Zr1 Zr 0.0000 0.0000 0.0000
P1 P 0.5000 0.0000 0.3889
Ir1 Ir 0.0000 0.0000 0.2678
Ir2 Ir 0.5000 0.0000 0.6354



# 2
# Zr2PIr, optimized geometry, DFT GGA-PBEsol
# * density: 10.22 Mg/m³
# * uncorrected energy: -34.67 eV per formula unit
# * ΔE_f: -0.88 eV/f.u.
# * crystal system: cubic
data_Zr2PIr
_chemical_formula_sum 'Zr8 P4 Ir4'
_cell_length_a 6.4113
_cell_length_b 6.4113
_cell_length_c 6.4113
_cell_angle_alpha 90.00
_cell_angle_beta 90.00
_cell_angle_gamma 90.00
_space_group_name_H-M_alt 'F -4 3 m'
_space_group_IT_number 216
_space_group_name_Hall 'F -4 2 3'
loop_
_atom_site_label
_atom_site_type_symbol
_atom_site_fract_x
_atom_site_fract_y
_atom_site_fract_z
Zr1 Zr 0.0000 0.0000 0.0000
Zr2 Zr 0.2500 0.2500 0.2500
P1 P 0.2500 0.2500 0.7500
Ir1 Ir 0.0000 0.0000 0.5000